Below is a geometry-optimized NaCa2LaFe structure, with properties calculated at the GGA-PBE level.

Unit cell a=5.798 b=5.798 c=5.022 alpha=90.00 beta=90.00 gamma=90.00
Atoms (fractional coordinates):
Na 0.000 0.000 0.000
Ca 0.000 0.500 0.500
Ca 0.500 0.000 0.500
La 0.500 0.500 0.000
Fe 0.500 0.500 0.500

Output
Magnetization = 0.644 μB per cell
Symmetry = No. 123
Energy relative to the elements = 195 meV per atom